No. 1
This record from Alexandria describes a relaxed KSe2Cl crystal. The functional is GGA-PBE.

Values from the calculation:
- DOS at the Fermi energy (states/eV/atom) = 0.273
- DFT total energy (eV/atom) = -3.238
- energy relative to the elements, uncorrected (eV/f.u.) = -3.0

Cell lengths 4.277, 4.277, 34.443 Å; angles 90.00, 90.00, 90.00 degrees
Space group I-42d (No. 122)
Inequivalent atoms, fractional coordinates:
K (0.000, 0.000, 0.000) [4 per cell]
Se (0.131, 0.750, 0.625) [8 per cell]
Cl (0.000, 0.000, 0.500) [4 per cell]

No. 2
This record from Alexandria describes a relaxed B6N6F crystal. The functional is GGA-PBE.

Values from the calculation:
- DOS at the Fermi energy (states/eV/atom) = 0.274
- DFT total energy (eV/atom) = -7.919
- energy relative to the elements, uncorrected (eV/f.u.) = -11.1

Cell lengths 4.461, 4.461, 4.461 Å; angles 90.00, 90.00, 90.00 degrees
Space group Pm-3 (No. 200)
Inequivalent atoms, fractional coordinates:
B (0.000, 0.247, 0.500) [6 per cell]
N (0.000, 0.500, 0.254) [6 per cell]
F (0.000, 0.000, 0.000) [1 per cell]

No. 3
This record from Alexandria describes a relaxed PCSe crystal. The functional is GGA-PBE.

Values from the calculation:
- DOS at the Fermi energy (states/eV/atom) = 0.142
- DFT total energy (eV/atom) = -5.522
- energy relative to the elements, uncorrected (eV/f.u.) = 1.6

Cell lengths 5.437, 5.589, 5.914 Å; angles 103.33, 100.94, 116.35 degrees
Space group P-1 (No. 2)
Inequivalent atoms, fractional coordinates:
P (0.025, 0.307, 0.022) [2 per cell]
C (0.379, 0.455, 0.012) [2 per cell]
Se (0.173, 0.425, 0.449) [2 per cell]

No. 4
This record from Alexandria describes a relaxed KAlOs2 crystal. The functional is GGA-PBE.

Values from the calculation:
- DOS at the Fermi energy (states/eV/atom) = 0.854
- DFT total energy (eV/atom) = -6.381
- E_form (meV/atom) = 444

Cell lengths 2.851, 2.851, 9.399 Å; angles 90.00, 90.00, 90.00 degrees
Space group P4mm (No. 99)
Inequivalent atoms, fractional coordinates:
K (0.000, 0.000, 0.000) [1 per cell]
Al (0.500, 0.500, 0.671) [1 per cell]
Os (0.000, 0.000, 0.477) [1 per cell]
Os (0.500, 0.500, 0.303) [1 per cell]

No. 5
This record from Alexandria describes a relaxed KZr2Cu crystal. The functional is GGA-PBE.

Values from the calculation:
- DOS at the Fermi energy (states/eV/atom) = 1.169
- DFT total energy (eV/atom) = -4.686
- E_form (meV/atom) = 887

Cell lengths 4.272, 4.272, 5.247 Å; angles 90.00, 90.00, 90.00 degrees
Space group P4/mmm (No. 123)
Inequivalent atoms, fractional coordinates:
K (0.000, 0.000, 0.000) [1 per cell]
Zr (0.000, 0.500, 0.500) [2 per cell]
Cu (0.500, 0.500, 0.000) [1 per cell]

No. 6
This record from Alexandria describes a relaxed KHRh2 crystal. The functional is GGA-PBE.

Values from the calculation:
- DOS at the Fermi energy (states/eV/atom) = 1.272
- DFT total energy (eV/atom) = -3.270

Cell lengths 6.309, 6.309, 6.309 Å; angles 90.00, 90.00, 90.00 degrees
Space group Fm-3m (No. 225)
Inequivalent atoms, fractional coordinates:
K (0.000, 0.000, 0.000) [4 per cell]
H (0.000, 0.000, 0.500) [4 per cell]
Rh (0.250, 0.250, 0.250) [8 per cell]

No. 7
This record from Alexandria describes a relaxed Zn2TcCl crystal. The functional is GGA-PBE.

Values from the calculation:
- DOS at the Fermi energy (states/eV/atom) = 0.095
- DFT total energy (eV/atom) = -2.929
- energy relative to the elements, uncorrected (eV/f.u.) = 3.0

Cell lengths 6.516, 6.516, 6.516 Å; angles 90.00, 90.00, 90.00 degrees
Space group Fm-3m (No. 225)
Inequivalent atoms, fractional coordinates:
Zn (0.250, 0.250, 0.250) [8 per cell]
Tc (0.000, 0.000, 0.000) [4 per cell]
Cl (0.000, 0.000, 0.500) [4 per cell]

No. 8
This record from Alexandria describes a relaxed BeP2W crystal. The functional is GGA-PBE.

Values from the calculation:
- DOS at the Fermi energy (states/eV/atom) = 0.278
- DFT total energy (eV/atom) = -6.889
- E_form (meV/atom) = -14

Cell lengths 3.113, 3.074, 5.666 Å; angles 90.00, 102.74, 90.00 degrees
Space group P2/m (No. 10)
Inequivalent atoms, fractional coordinates:
Be (0.000, 0.000, 0.000) [1 per cell]
P (0.398, 0.500, 0.253) [2 per cell]
W (0.000, 0.000, 0.500) [1 per cell]

No. 9
This record from Alexandria describes a relaxed LiLa4Ho3Te8 crystal. The functional is GGA-PBE.

Values from the calculation:
- DOS at the Fermi energy (states/eV/atom) = 0.620
- DFT total energy (eV/atom) = -5.208
- energy relative to the elements, uncorrected (eV/f.u.) = -22.8

Cell lengths 8.8792, 8.8792, 21.9338 Å; angles 90.00, 90.00, 120.00 degrees
Space group R-3m (No. 166, hexagonal axes)
Inequivalent atoms, fractional coordinates:
Li (0.0000, 0.0000, 0.0000) [3 per cell]
La (0.0000, 0.0000, 0.5000) [3 per cell]
La (0.0000, 0.5000, 0.5000) [9 per cell]
Ho (0.0000, 0.5000, 0.0000) [9 per cell]
Te (0.0000, 0.0000, 0.2559) [6 per cell]
Te (0.0055, 0.5028, 0.7426) [18 per cell]

No. 10
This record from Alexandria describes a relaxed SrTe2H crystal. The functional is GGA-PBE.

Values from the calculation:
- DOS at the Fermi energy (states/eV/atom) = 1.617
- DFT total energy (eV/atom) = -2.874

Cell lengths 4.9814, 4.9814, 15.5133 Å; angles 90.00, 90.00, 120.00 degrees
Space group R-3m (No. 166, hexagonal axes)
Inequivalent atoms, fractional coordinates:
Sr (0.0000, 0.0000, 0.0000) [3 per cell]
Te (0.0000, 0.0000, 0.2212) [6 per cell]
H (0.0000, 0.0000, 0.5000) [3 per cell]

No. 11
This record from Alexandria describes a relaxed Rb2TaPdCl6 crystal. The functional is GGA-PBE.

Values from the calculation:
- DOS at the Fermi energy (states/eV/atom) = 0.627
- DFT total energy (eV/atom) = -4.239
- energy relative to the elements, uncorrected (eV/f.u.) = -12.3

Cell lengths 7.826, 7.826, 9.520 Å; angles 90.00, 90.00, 90.00 degrees
Space group I4/mmm (No. 139)
Inequivalent atoms, fractional coordinates:
Rb (0.000, 0.500, 0.250) [4 per cell]
Ta (0.000, 0.000, 0.000) [2 per cell]
Pd (0.000, 0.000, 0.500) [2 per cell]
Cl (0.000, 0.000, 0.252) [4 per cell]
Cl (0.222, 0.222, 0.000) [8 per cell]

No. 12
This record from Alexandria describes a relaxed NaSiAu crystal. The functional is GGA-PBE.

Values from the calculation:
- DOS at the Fermi energy (states/eV/atom) = 0.362
- DFT total energy (eV/atom) = -3.469
- energy relative to the elements, uncorrected (eV/f.u.) = -0.4

Cell lengths 4.417, 3.873, 7.948 Å; angles 90.00, 91.35, 90.00 degrees
Space group P2_1/m (No. 11)
Inequivalent atoms, fractional coordinates:
Na (0.001, 0.250, 0.258) [2 per cell]
Si (0.498, 0.750, 0.077) [2 per cell]
Au (0.497, 0.250, 0.622) [2 per cell]